# 1
4
Lattice="3.2014 0.0000 0.0000 0.0000 3.2014 0.0000 0.0000 0.0000 7.2331" Properties=species:S:1:pos:R:3 comment="PBE TcNiSe2, relaxed" dos_ef_per_ev_fu=1.948 e_above_lowest_polymorph_mev_per_atom=148.3 pbc="T T T"
Ni 1.6007 1.6007 5.4366
Se 0.0000 0.0000 6.2931
Se 1.6007 1.6007 2.5703
Tc 0.0000 0.0000 3.7829

=====

# 2
4
Lattice="6.3119 8.7887 3.4819 8.4163 6.3397 4.2638 8.3851 7.5826 1.1830" Properties=species:S:1:pos:R:3 comment="PBE YSc2Sn, relaxed" dos_ef_per_ev_fu=4.371 delta_e_f_ev_per_atom=0.0325 pbc="T T T"
Y 0.0000 0.0000 0.0000
Sc 20.9229 20.5588 8.0826
Sc 2.1904 2.1523 0.8461
Sn 11.5566 11.3555 4.4644

=====

# 3
20
Lattice="4.4698 0.0000 0.0000 0.0000 6.9540 -2.8947 0.0000 -0.0546 10.0079" Properties=species:S:1:pos:R:3 comment="PBE Li6AsAu3, relaxed" dos_ef_per_ev_fu=1.926 delta_e_f_ev_per_atom=-0.5452 pbc="T T T"
Li 3.3524 4.5780 -0.7362
Li 1.1175 2.3214 7.8494
Li 3.3524 0.6484 2.0229
Li 1.1175 6.2510 5.0904
Li 3.3524 0.5889 6.9164
Li 1.1175 6.3105 0.1969
Li 3.3524 2.0297 4.3336
Li 1.1175 4.8697 2.7796
Li 3.3524 3.3843 2.0259
Li 1.1175 3.5151 5.0874
Li 3.3524 6.0475 6.6693
Li 1.1175 0.8519 0.4440
As 3.3524 4.9083 4.3797
As 1.1175 1.9911 2.7336
Au 3.3524 6.0693 1.6422
Au 1.1175 0.8301 5.4711
Au 3.3524 3.3368 6.7269
Au 1.1175 3.5626 0.3863
Au 3.3524 1.8222 -0.6762
Au 1.1175 5.0772 7.7895

=====

# 4
5
Lattice="-3.5912 3.0335 -1.8849 -2.1672 0.1457 4.3636 2.7720 4.0530 1.2414" Properties=species:S:1:pos:R:3 comment="PBE BaTiNb2C, relaxed" dos_ef_per_ev_fu=8.491 delta_e_f_ev_per_atom=3.5449 pbc="T T T"
C -1.4932 3.6161 1.8601
Nb 1.3860 2.0265 0.6207
Nb -1.7956 1.5168 -0.9424
Ba 0.0000 0.0000 0.0000
Ti -1.0836 0.0728 2.1818

=====

- Number 4 is which compound?
  BaTiNb2C